VASP calculation (PBE) on an optimized crystal structure of K4Sn.

- energy of formation from the pure elements (eV/f.u.) = 0.181
- density (Mg/m³) = 1.39
- SG = Pm-3m (221)
- M_tot (μB per cell) = 0.3
- crystal system = cubic

Cell lengths 6.9071, 6.9071, 6.9071 Å; angles 90.00, 90.00, 90.00 degrees
With the nearest neighbours (Å) after each atom.
Sites, in units of the cell vectors:
K: 0.0000 0.0000 0.0000  12 K 4.88
K: 0.0000 0.5000 0.5000  2 Sn 3.45
K: 0.5000 0.0000 0.5000  2 Sn 3.45
K: 0.5000 0.5000 0.0000  2 Sn 3.45
Sn: 0.5000 0.5000 0.5000  6 K 3.45

---

VASP calculation (PBE) on an optimized crystal structure of AgC3O.

- energy above the most stable polymorph in this dataset (meV/atom) = 696.4
- density (Mg/m³) = 3.70
- SG = Pm-3m (221)
- M_tot (μB per cell) = 2.0
- energy relative to the elements, uncorrected (meV per atom) = 3789
- crystal system = cubic

Cell lengths 4.1555, 4.1555, 4.1555 Å; angles 90.00, 90.00, 90.00 degrees
With the nearest neighbours (Å) after each atom.
Sites, in units of the cell vectors:
Ag: 0.0000 0.0000 0.0000  6 C 2.08
C: 0.0000 0.0000 0.5000  2 Ag 2.08
C: 0.0000 0.5000 0.0000  2 Ag 2.08
C: 0.5000 0.0000 0.0000  2 Ag 2.08
O: 0.5000 0.5000 0.5000  12 C 2.94

---

VASP calculation (PBE) on an optimized crystal structure of Te2RuCl.

- energy above the most stable polymorph in this dataset (meV/atom) = 299.1
- density (Mg/m³) = 6.10
- SG = P4mm (99)
- M_tot (μB per cell) = 0.0
- energy relative to the elements, uncorrected (meV per atom) = 95
- crystal system = tetragonal

Cell lengths 3.1454, 3.1454, 10.7833 Å; angles 90.00, 90.00, 90.00 degrees
With the nearest neighbours (Å) after each atom.
Sites, in units of the cell vectors:
Te: 0.0000 0.0000 0.0000  4 Ru 2.69
Te: 0.5000 0.5000 0.3336  4 Te 3.15
Ru: 0.5000 0.5000 0.8601  4 Te 2.69, 4 Cl 2.80
Cl: 0.0000 0.0000 0.7021  4 Ru 2.80

---

VASP calculation (PBE) on an optimized crystal structure of CoHIrOs2.

- density (Mg/m³) = 18.64
- SG = P4/mmm (123)
- uncorrected energy (eV/f.u.) = -40.52
- M_tot (μB per cell) = 0.0
- crystal system = tetragonal

Cell lengths 3.8407, 3.8407, 3.8195 Å; angles 90.00, 90.00, 90.00 degrees
With the nearest neighbours (Å) after each atom.
Sites, in units of the cell vectors:
Co: 0.0000 0.0000 0.0000  2 H 1.91
H: 0.0000 0.0000 0.5000  2 Co 1.91, 4 Os 1.92
Ir: 0.5000 0.5000 0.0000  8 Os 2.71, 4 Co 2.72
Os: 0.0000 0.5000 0.5000  2 H 1.92
Os: 0.5000 0.0000 0.5000  2 H 1.92

---

VASP calculation (PBE) on an optimized crystal structure of AgSnGe2B.

- energy of formation from the pure elements (eV/f.u.) = 4.863
- density (Mg/m³) = 5.75
- SG = P4/mmm (123)
- M_tot (μB per cell) = 0.0
- crystal system = tetragonal

Cell lengths 5.1936, 5.1936, 4.0982 Å; angles 90.00, 90.00, 90.00 degrees
With the nearest neighbours (Å) after each atom.
Sites, in units of the cell vectors:
Ag: 0.0000 0.0000 0.0000  2 B 2.05
Sn: 0.5000 0.5000 0.5000  8 Ge 3.31, 4 B 3.67
Ge: 0.0000 0.5000 0.0000  2 Ag 2.60
Ge: 0.5000 0.0000 0.0000  2 Ag 2.60
B: 0.0000 0.0000 0.5000  2 Ag 2.05

---

VASP calculation (PBE) on an optimized crystal structure of SrIrOs.

- energy of formation from the pure elements (eV/f.u.) = 2.232
- energy above the most stable polymorph in this dataset (meV/atom) = 669.1
- density (Mg/m³) = 13.46
- SG = P-6m2 (187)
- M_tot (μB per cell) = 0.0
- crystal system = hexagonal

Cell lengths 4.7287, 4.7287, 2.9941 Å; angles 90.00, 90.00, 120.00 degrees
With the nearest neighbours (Å) after each atom.
Sites, in units of the cell vectors:
Sr: 0.0000 0.0000 0.0000  2 Sr 2.99, 6 Os 3.11, 6 Ir 3.11
Ir: 0.6667 0.3333 0.5000  3 Os 2.73, 2 Ir 2.99
Os: 0.3333 0.6667 0.5000  3 Ir 2.73, 2 Os 2.99